No. 1
Zr3Ag4Hg2 | GGA-PBE | optimized geometry

## Properties
VASP energy, eV per atom: -4.28
SG: Cccm
Energy of formation, eV per atom: -0.10
Spin magnetization, μB/cell: 0.0

a = 8.433 Å, b = 8.433 Å, c = 5.772 Å
α = 90.00°, β = 90.00°, γ = 120.01°
Element x y z (fractional)
Zr 0.000 0.000 0.250
Zr 0.000 0.000 0.750
Zr 0.336 0.664 0.250
Zr 0.336 0.664 0.750
Zr 0.664 0.336 0.250
Zr 0.664 0.336 0.750
Ag 0.003 0.337 0.000
Ag 0.333 0.337 0.000
Ag 0.337 0.003 0.500
Ag 0.337 0.333 0.500
Ag 0.663 0.667 0.500
Ag 0.663 0.997 0.500
Ag 0.667 0.663 0.000
Ag 0.997 0.663 0.000
Hg 0.000 0.329 0.500
Hg 0.000 0.671 0.500
Hg 0.329 0.000 0.000
Hg 0.671 0.000 0.000

***

No. 2
Zr2AgHg | GGA-PBE | optimized geometry

## Properties
VASP energy, eV per atom: -5.14
SG: P4/mmm
Energy of formation, eV per atom: -0.08
Spin magnetization, μB/cell: 0.0

a = 3.153 Å, b = 3.153 Å, c = 8.403 Å
α = 90.00°, β = 90.00°, γ = 90.00°
Element x y z (fractional)
Zr 0.000 0.000 0.245
Zr 0.000 0.000 0.755
Ag 0.500 0.500 0.000
Hg 0.500 0.500 0.500

***

No. 3
Zr2AgHg | GGA-PBE | optimized geometry

## Properties
VASP energy, eV per atom: -5.01
SG: R-3m
Energy of formation, eV per atom: 0.05
Spin magnetization, μB/cell: 0.0

a = 10.350 Å, b = 10.350 Å, c = 10.350 Å
α = 17.29°, β = 17.29°, γ = 17.29°
Element x y z (fractional)
Zr 0.248 0.248 0.248
Zr 0.752 0.752 0.752
Ag 0.500 0.500 0.500
Hg 0.000 0.000 0.000

***

No. 4
Zr6AgHg | GGA-PBE | optimized geometry

## Properties
VASP energy, eV per atom: -6.90
SG: R-3
Energy of formation, eV per atom: -0.09
Spin magnetization, μB/cell: 0.0

a = 5.583 Å, b = 5.583 Å, c = 5.583 Å
α = 89.99°, β = 89.99°, γ = 89.99°
Element x y z (fractional)
Zr 0.001 0.251 0.499
Zr 0.251 0.499 0.001
Zr 0.499 0.001 0.251
Zr 0.501 0.999 0.749
Zr 0.749 0.501 0.999
Zr 0.999 0.749 0.501
Ag 0.500 0.500 0.500
Hg 0.000 0.000 0.000

***

Question: Which of these has the highest VASP energy?
Answer: Zr3Ag4Hg2

***

Question: What is the energy of formation in the third record?
Answer: 0.05 eV per atom

***

What did the third record say?
Zr2AgHg | GGA-PBE | optimized geometry

## Properties
VASP energy, eV per atom: -5.01
SG: R-3m
Energy of formation, eV per atom: 0.05
Spin magnetization, μB/cell: 0.0

a = 10.350 Å, b = 10.350 Å, c = 10.350 Å
α = 17.29°, β = 17.29°, γ = 17.29°
Element x y z (fractional)
Zr 0.248 0.248 0.248
Zr 0.752 0.752 0.752
Ag 0.500 0.500 0.500
Hg 0.000 0.000 0.000